Record 1
4
Lattice="-4.5128 1.5599 0.7858 -2.9206 -2.0956 -3.2394 3.2818 -1.8914 3.0159" Properties=species:S:1:pos:R:3 comment="MnAgPt2 (PBE, relaxed)" e_tot_ev_per_cell=-24.8 delta_e_f_ev_per_atom=-0.174 pbc="T T T"
Mn -2.4738 -0.2997 1.2874
Ag -1.6778 -2.1274 -0.7252
Pt -7.4333 -0.5357 -2.4537
Pt -3.7168 -0.2679 -1.2269

Record 2
4
Lattice="4.9522 -0.0101 0.0167 4.0952 2.7846 0.0167 0.9041 0.2773 4.5706" Properties=species:S:1:pos:R:3 comment="Mn2AgPt (PBE, relaxed)" e_tot_ev_per_cell=-27.1 delta_e_f_ev_per_atom=0.021 pbc="T T T"
Mn 7.4848 2.2953 3.2990
Mn 9.0641 2.7797 0.1510
Ag 2.4568 0.7534 1.0249
Pt 4.9691 1.5239 2.4645

Record 3
4
Lattice="-4.6491 0.2728 0.2186 -3.9704 -2.2874 -0.8604 -0.7432 -2.1123 4.5446" Properties=species:S:1:pos:R:3 comment="Mn2AgPt (PBE, relaxed)" e_tot_ev_per_cell=-26.8 delta_e_f_ev_per_atom=0.096 pbc="T T T"
Mn -0.7722 -2.0972 4.4906
Mn -4.6524 -2.0785 2.0054
Pt -7.0221 -3.0951 2.9271
Ag -2.3407 -1.0317 0.9757

Record 4
6
Lattice="-2.8006 -0.0295 3.9158 -4.7382 -0.7336 -0.4348 -1.9479 -4.1263 1.5353" Properties=species:S:1:pos:R:3 comment="Mn4AgPt (PBE, relaxed)" e_tot_ev_per_cell=-44.1 delta_e_f_ev_per_atom=0.250 pbc="T T T"
Ag 0.0000 0.0000 0.0000
Mn -4.5307 -3.9014 2.6493
Mn -4.9585 -1.8463 3.8434
Mn -3.5536 -1.8315 1.8791
Mn -5.9305 -2.1995 1.6610
Pt -7.1150 -3.6670 3.7623